(1)
A geometry-optimized MnIrRh3 structure. Source: Alexandria via LeMat-Bulk, functional PBE.

Cell lengths 4.7158, 4.7158, 4.7158 Å; angles 90.00, 90.00, 90.00 degrees
With the nearest neighbours (Å) after each atom.
Atoms (fractional coordinates):
Ir  0.0000  0.0000  0.0000  6 Rh 2.36
Rh  0.0000  0.5000  0.0000  2 Ir 2.36
Rh  0.0000  0.0000  0.5000  2 Ir 2.36
Rh  0.5000  0.0000  0.0000  2 Ir 2.36
Mn  0.5000  0.5000  0.5000  12 Rh 3.33

Values from the calculation:
Space-group type: No. 221
Energy relative to the elements in eV per atom: 1.339
V in Å³ per atom: 21.0
Electronic total energy in eV for the cell shown: -33.4

=====

(2)
A geometry-optimized NiAgPd3 structure. Source: Alexandria via LeMat-Bulk, functional PBE.

Cell lengths 3.9957, 5.3698, 8.0955 Å; angles 86.28, 90.00, 68.16 degrees
With the nearest neighbours (Å) after each atom.
Atoms (fractional coordinates):
Ni  0.6524  0.0848  0.0864  7 Pd 2.51-2.57, 2 Ni 2.62, 1 Ag 2.78
Ni  0.1634  0.0627  0.2970  7 Pd 2.51-2.57, 2 Ni 2.62, 1 Ag 2.78
Ag  0.0389  0.3117  0.5943  8 Pd 2.78-2.97, 1 Ni 2.78
Ag  0.7769  0.8358  0.7890  8 Pd 2.78-2.97, 1 Ni 2.78
Pd  0.3184  0.7529  0.5599  1 Ni 2.54, 4 Pd 2.68-2.76, 3 Ag 2.78-2.82
Pd  0.5120  0.3655  0.3331  3 Ni 2.52-2.53, 3 Pd 2.73-2.76
Pd  0.4975  0.3946  0.8235  1 Ni 2.54, 4 Pd 2.68-2.76, 3 Ag 2.78-2.82
Pd  0.3038  0.7820  0.0503  3 Ni 2.52-2.53, 3 Pd 2.73-2.76
Pd  0.8247  0.7403  0.3280  3 Ni 2.51-2.57, 4 Pd 2.73-2.75
Pd  0.9912  0.4072  0.0554  3 Ni 2.51-2.57, 4 Pd 2.73-2.75

Values from the calculation:
Space-group type: No. 12
Energy relative to the elements in eV per atom: 0.161
V in Å³ per atom: 16.1
Electronic total energy in eV for the cell shown: -46.8

=====

(3)
A geometry-optimized YSbPt4 structure. Source: Alexandria via LeMat-Bulk, functional PBE.

Cell lengths 5.4246, 5.4246, 5.4246 Å; angles 60.00, 60.00, 60.00 degrees
With the nearest neighbours (Å) after each atom.
Atoms (fractional coordinates):
Y  0.0000  0.0000  0.0000  12 Pt 3.18, 4 Sb 3.32
Sb  0.7500  0.7500  0.7500  12 Pt 3.18, 4 Y 3.32
Pt  0.8754  0.3749  0.3749  6 Pt 2.71-2.72
Pt  0.3749  0.3749  0.8754  6 Pt 2.71-2.72
Pt  0.3749  0.8754  0.3749  6 Pt 2.71-2.72
Pt  0.3749  0.3749  0.3749  6 Pt 2.71-2.72

Values from the calculation:
Space-group type: No. 216
E_form (uncorrected) in eV/f.u.: -4.03
V in Å³ per atom: 18.8
Electronic total energy in eV for the cell shown: -38.8

=====

(4)
A geometry-optimized KIn5 structure. Source: Alexandria via LeMat-Bulk, functional PBE.

Cell lengths 10.3107, 10.3107, 5.1715 Å; angles 90.00, 90.00, 160.78 degrees
With the nearest neighbours (Å) after each atom.
Atoms (fractional coordinates):
In  0.9815  0.0185  0.0000  8 In 3.26-3.44, 2 K 3.58
In  0.3360  0.6640  0.0000  12 In 3.25-3.44
In  0.6976  0.3024  0.0000  6 In 3.11-3.44
In  0.4325  0.5675  0.5000  10 In 3.25-3.51
In  0.7823  0.2177  0.5000  8 In 3.11-3.44
K  0.1035  0.8965  0.5000  2 K 3.44, 6 In 3.58-3.65

Values from the calculation:
Space-group type: No. 38
Energy relative to the elements in eV per atom: -0.037
V in Å³ per atom: 30.2
Electronic total energy in eV for the cell shown: -15.0

=====

(5)
A geometry-optimized AlTl2Te3 structure. Source: Alexandria via LeMat-Bulk, functional PBE.

Cell lengths 6.7008, 8.1865, 8.1865 Å; angles 74.44, 85.95, 85.95 degrees
With the nearest neighbours (Å) after each atom.
Atoms (fractional coordinates):
Al  0.7500  0.8919  0.1081  3 Te 2.57-2.64
Al  0.2500  0.1081  0.8919  3 Te 2.57-2.64
Tl  0.6856  0.1960  0.5190  5 Te 3.33-3.70
Tl  0.1856  0.5190  0.1960  5 Te 3.33-3.70
Tl  0.8144  0.4810  0.8040  5 Te 3.33-3.70
Tl  0.3144  0.8040  0.4810  5 Te 3.33-3.70
Te  0.2500  0.3676  0.6324  1 Al 2.57
Te  0.7500  0.6324  0.3676  1 Al 2.57
Te  0.9662  0.8670  0.8326  1 Al 2.64
Te  0.5338  0.1674  0.1330  1 Al 2.64
Te  0.4662  0.8326  0.8670  1 Al 2.64
Te  0.0338  0.1330  0.1674  1 Al 2.64

Values from the calculation:
Space-group type: No. 15
E_form (uncorrected) in eV/f.u.: -1.71
V in Å³ per atom: 35.9
Electronic total energy in eV for the cell shown: -39.2

=====

(6)
A geometry-optimized EuHoNi structure. Source: Alexandria via LeMat-Bulk, functional PBE.

Cell lengths 3.4723, 3.4723, 6.8027 Å; angles 104.79, 104.79, 90.00 degrees
With the nearest neighbours (Å) after each atom.
Atoms (fractional coordinates):
Eu  0.0293  0.0293  0.0586  4 Ni 3.12, 1 Ho 3.30, 4 Eu 3.47
Ni  0.6813  0.6813  0.3626  4 Ho 2.81, 4 Eu 3.12
Ho  0.2894  0.2894  0.5788  4 Ni 2.81

Values from the calculation:
Space-group type: No. 107
Energy relative to the elements in eV per atom: -0.167
V in Å³ per atom: 25.5
Electronic total energy in eV for the cell shown: -21.1

=====

(7)
A geometry-optimized NaHfAgTe3 structure. Source: Alexandria via LeMat-Bulk, functional PBE.

Cell lengths 4.1552, 8.3546, 10.3745 Å; angles 106.63, 90.00, 90.00 degrees
With the nearest neighbours (Å) after each atom.
Atoms (fractional coordinates):
Na  0.2500  0.2386  0.2874  6 Te 3.33-3.41
Na  0.7500  0.7614  0.7126  6 Te 3.33-3.41
Hf  0.2500  0.6910  0.1752  6 Te 2.84-3.03
Hf  0.7500  0.3090  0.8248  6 Te 2.84-3.03
Ag  0.2500  0.0784  0.5982  4 Te 2.76-2.99, 2 Ag 2.94
Ag  0.7500  0.9216  0.4018  4 Te 2.76-2.99, 2 Ag 2.94
Te  0.7500  0.9162  0.1343  1 Ag 2.76, 2 Hf 2.91
Te  0.2500  0.0838  0.8657  1 Ag 2.76, 2 Hf 2.91
Te  0.2500  0.7137  0.4537  1 Hf 2.84, 3 Ag 2.86-2.99
Te  0.7500  0.2863  0.5463  1 Hf 2.84, 3 Ag 2.86-2.99
Te  0.7500  0.4304  0.1298  3 Hf 2.95-3.03
Te  0.2500  0.5696  0.8702  3 Hf 2.95-3.03

Values from the calculation:
Space-group type: No. 11
E_form (uncorrected) in eV/f.u.: -4.14
V in Å³ per atom: 28.8
Electronic total energy in eV for the cell shown: -55.4

=====

(8)
A geometry-optimized HoPu2Al structure. Source: Alexandria via LeMat-Bulk, functional PBE.

Cell lengths 4.9759, 4.4426, 4.4426 Å; angles 90.00, 90.00, 90.00 degrees
With the nearest neighbours (Å) after each atom.
Atoms (fractional coordinates):
Al  0.5000  0.0000  0.0000  4 Ho 3.14, 8 Pu 3.34
Ho  0.5000  0.5000  0.5000  4 Al 3.14, 8 Pu 3.34
Pu  0.0000  0.0000  0.5000  4 Pu 3.14, 4 Ho 3.34, 4 Al 3.34
Pu  0.0000  0.5000  0.0000  4 Pu 3.14, 4 Ho 3.34, 4 Al 3.34

Values from the calculation:
Space-group type: No. 123
Energy relative to the elements in eV per atom: -0.084
V in Å³ per atom: 24.6
Electronic total energy in eV for the cell shown: -37.3

=====

(9)
A geometry-optimized CeThNiOs structure. Source: Alexandria via LeMat-Bulk, functional PBE.

Cell lengths 4.9376, 4.9376, 4.9376 Å; angles 60.00, 60.00, 60.00 degrees
With the nearest neighbours (Å) after each atom.
Atoms (fractional coordinates):
Ni  0.2500  0.2500  0.2500  4 Ce 3.02, 4 Th 3.02
Os  0.7500  0.7500  0.7500  4 Th 3.02, 4 Ce 3.02
Ce  0.5000  0.5000  0.5000  4 Os 3.02, 4 Ni 3.02
Th  0.0000  0.0000  0.0000  4 Ni 3.02, 4 Os 3.02

Values from the calculation:
Space-group type: No. 216
Energy relative to the elements in eV per atom: -0.215
V in Å³ per atom: 21.3
Electronic total energy in eV for the cell shown: -31.2

=====

(10)
A geometry-optimized KGeBr3 structure. Source: Alexandria via LeMat-Bulk, functional PBE.

Cell lengths 8.6629, 8.6629, 8.6629 Å; angles 53.95, 53.95, 53.95 degrees
With the nearest neighbours (Å) after each atom.
Atoms (fractional coordinates):
Ge  0.3153  0.3153  0.3153  3 Br 2.59
Ge  0.6847  0.6847  0.6847  3 Br 2.59
K  0.1334  0.1334  0.1334  6 Br 3.31-3.42
K  0.8666  0.8666  0.8666  6 Br 3.31-3.42
Br  0.4926  0.0426  0.7076  1 Ge 2.59
Br  0.0426  0.7076  0.4926  1 Ge 2.59
Br  0.2924  0.5074  0.9574  1 Ge 2.59
Br  0.9574  0.2924  0.5074  1 Ge 2.59
Br  0.5074  0.9574  0.2924  1 Ge 2.59
Br  0.7076  0.4926  0.0426  1 Ge 2.59

Values from the calculation:
Space-group type: No. 148
E_form (uncorrected) in eV/f.u.: -5.13
V in Å³ per atom: 39.5
Electronic total energy in eV for the cell shown: -31.7

=====

(11)
A geometry-optimized In2SnRhI structure. Source: Alexandria via LeMat-Bulk, functional PBE.

Cell lengths 5.2987, 5.2987, 5.1082 Å; angles 90.00, 90.00, 90.00 degrees
With the nearest neighbours (Å) after each atom.
Atoms (fractional coordinates):
I  0.5000  0.5000  0.5000  8 In 3.68, 4 Sn 3.75
Rh  0.0000  0.0000  0.0000  2 Sn 2.55, 4 In 2.65
Sn  0.0000  0.0000  0.5000  2 Rh 2.55
In  0.0000  0.5000  0.0000  2 Rh 2.65
In  0.5000  0.0000  0.0000  2 Rh 2.65

Values from the calculation:
Space-group type: No. 123
E_form (uncorrected) in eV/f.u.: -1.76
V in Å³ per atom: 28.7
Electronic total energy in eV for the cell shown: -20.1

=====

(12)
A geometry-optimized PbBr5 structure. Source: Alexandria via LeMat-Bulk, functional PBE.

Cell lengths 5.6624, 5.6624, 8.4598 Å; angles 90.00, 90.00, 120.00 degrees
With the nearest neighbours (Å) after each atom.
Atoms (fractional coordinates):
Pb  0.0000  0.0000  0.0000  6 Br 3.27
Br  0.3333  0.6667  0.0000  3 Pb 3.27, 3 Br 3.27
Br  0.6667  0.3333  0.0000  3 Pb 3.27, 3 Br 3.27
Br  0.5000  0.0000  0.5000  4 Br 2.83
Br  0.0000  0.5000  0.5000  4 Br 2.83
Br  0.5000  0.5000  0.5000  4 Br 2.83

Values from the calculation:
Space-group type: No. 191
E_form (uncorrected) in eV/f.u.: -0.61
V in Å³ per atom: 39.1
Electronic total energy in eV for the cell shown: -12.7

=====

(13)
A geometry-optimized La15Ho2Pb2 structure. Source: Alexandria via LeMat-Bulk, functional PBE.

Cell lengths 8.9402, 8.9402, 8.9402 Å; angles 76.20, 76.20, 76.20 degrees
With the nearest neighbours (Å) after each atom.
Atoms (fractional coordinates):
La  0.0000  0.5000  0.0000  2 Pb 3.41, 8 La 3.54-3.55
La  0.0000  0.0000  0.5000  2 Pb 3.41, 8 La 3.54-3.55
La  0.5000  0.0000  0.0000  2 Pb 3.41, 8 La 3.54-3.55
La  0.2907  0.0000  0.7093  6 La 3.21-3.55
La  0.7093  0.2907  0.0000  6 La 3.21-3.55
La  0.0000  0.7093  0.2907  6 La 3.21-3.55
La  0.2907  0.7093  0.0000  6 La 3.21-3.55
La  0.0000  0.2907  0.7093  6 La 3.21-3.55
La  0.7093  0.0000  0.2907  6 La 3.21-3.55
La  0.3986  0.8218  0.3986  4 La 3.08-3.36
La  0.3986  0.3986  0.8218  4 La 3.08-3.36
La  0.8218  0.3986  0.3986  4 La 3.08-3.36
La  0.6014  0.1782  0.6014  4 La 3.08-3.36
La  0.6014  0.6014  0.1782  4 La 3.08-3.36
La  0.1782  0.6014  0.6014  4 La 3.08-3.36
Ho  0.7046  0.7046  0.7046  1 Pb 3.64, 12 La 4.00-4.04
Ho  0.2954  0.2954  0.2954  1 Pb 3.64, 12 La 4.00-4.04
Pb  0.8982  0.8982  0.8982  9 La 3.41-3.74, 1 Ho 3.64
Pb  0.1018  0.1018  0.1018  9 La 3.41-3.74, 1 Ho 3.64

Values from the calculation:
Space-group type: No. 166
Energy relative to the elements in eV per atom: 0.069
V in Å³ per atom: 34.8
Electronic total energy in eV for the cell shown: -89.2